No. 1
VASP calculation (PBE) on crystalline SrRhSe2 at its relaxed geometry.

a b c (Å): 3.6351 3.8694 13.0440
angles (deg): 90.00 90.00 90.00
With the nearest neighbours (Å) after each atom.
Atoms (fractional coordinates):
1 Sr 0.0000 0.0000 0.0000  6 Se 3.03-3.09
2 Sr 0.5000 0.5000 0.5000  6 Se 3.03-3.09
3 Rh 0.0000 0.5000 0.7508  6 Se 2.54-2.79
4 Rh 0.5000 0.0000 0.2508  6 Se 2.54-2.79
5 Se 0.0000 0.0000 0.3872  2 Rh 2.54
6 Se 0.0000 0.5000 0.1842  4 Rh 2.79, 2 Sr 3.09
7 Se 0.5000 0.0000 0.6842  4 Rh 2.79, 2 Sr 3.09
8 Se 0.5000 0.5000 0.8872  2 Rh 2.54

Calculated values
Crystal system: orthorhombic
Density of states at the Fermi level, states/eV per cell: 8.97
Relative energy among the computed polymorphs, meV/atom: 248
Final energy, eV for the cell shown: -37.47
Calculated volume, Å³/f.u.: 92
Total moment, μB per formula unit: 0.0
Space group: No. 44

---

No. 2
VASP calculation (PBE) on crystalline SrRh2Se at its relaxed geometry.

a b c (Å): 4.0824 4.0824 9.0993
angles (deg): 90.00 90.00 90.00
With the nearest neighbours (Å) after each atom.
Atoms (fractional coordinates):
1 Sr 0.0000 0.0000 0.0000  8 Rh 2.89-3.06, 4 Se 3.06
2 Sr 0.5000 0.5000 0.5000  8 Rh 2.89-3.06, 4 Se 3.06
3 Rh 0.0000 0.0000 0.5000  4 Sr 2.89, 4 Se 3.06, 4 Rh 3.06
4 Rh 0.0000 0.5000 0.7500  4 Se 2.89, 4 Rh 3.06, 4 Sr 3.06
5 Rh 0.5000 0.0000 0.2500  4 Se 2.89, 4 Rh 3.06, 4 Sr 3.06
6 Rh 0.5000 0.5000 0.0000  4 Sr 2.89, 4 Se 3.06, 4 Rh 3.06
7 Se 0.0000 0.5000 0.2500  8 Rh 2.89-3.06, 4 Sr 3.06
8 Se 0.5000 0.0000 0.7500  8 Rh 2.89-3.06, 4 Sr 3.06

Calculated values
Crystal system: tetragonal
Density of states at the Fermi level, states/eV per cell: 9.30
Final energy, eV for the cell shown: -40.39
Calculated volume, Å³/f.u.: 76
Total moment, μB per formula unit: 0.0
Space group: No. 119

---

No. 3
VASP calculation (PBE) on crystalline SrRh4Se at its relaxed geometry.

a b c (Å): 5.3506 5.3506 5.3506
angles (deg): 60.00 60.00 60.00
With the nearest neighbours (Å) after each atom.
Atoms (fractional coordinates):
1 Sr 0.0000 0.0000 0.0000  12 Rh 3.14, 4 Se 3.28
2 Rh 0.1283 0.6239 0.6239  6 Rh 2.65-2.70
3 Rh 0.6239 0.1283 0.6239  6 Rh 2.65-2.70
4 Rh 0.6239 0.6239 0.1283  6 Rh 2.65-2.70
5 Rh 0.6239 0.6239 0.6239  6 Rh 2.65-2.70
6 Se 0.2500 0.2500 0.2500  12 Rh 3.13, 4 Sr 3.28

Calculated values
Crystal system: cubic
Density of states at the Fermi level, states/eV per cell: 8.32
Final energy, eV for the cell shown: -34.04
Calculated volume, Å³/f.u.: 108
Total moment, μB per formula unit: 0.0
Space group: No. 216

---

No. 4
VASP calculation (PBE) on crystalline SrRh2Se at its relaxed geometry.

a b c (Å): 3.5722 5.0765 8.7626
angles (deg): 90.00 90.00 90.00
With the nearest neighbours (Å) after each atom.
Atoms (fractional coordinates):
1 Sr 0.0000 0.0000 0.0000  8 Rh 3.10-3.16, 4 Se 3.10
2 Sr 0.5000 0.5000 0.5000  8 Rh 3.10-3.16, 4 Se 3.10
3 Rh 0.0000 0.5000 0.2023  2 Se 2.52
4 Rh 0.0000 0.5000 0.7977  2 Se 2.52
5 Rh 0.5000 0.0000 0.2977  2 Se 2.52
6 Rh 0.5000 0.0000 0.7023  2 Se 2.52
7 Se 0.0000 0.0000 0.5000  4 Rh 2.52
8 Se 0.5000 0.5000 0.0000  4 Rh 2.52

Calculated values
Crystal system: orthorhombic
Density of states at the Fermi level, states/eV per cell: 8.65
Final energy, eV for the cell shown: -40.99
Calculated volume, Å³/f.u.: 79
Total moment, μB per formula unit: 0.0
Space group: No. 71

---

No. 5
VASP calculation (PBE) on crystalline SrRhSe2 at its relaxed geometry.

a b c (Å): 4.6805 4.6805 23.3945
angles (deg): 90.00 90.00 120.00
With the nearest neighbours (Å) after each atom.
Atoms (fractional coordinates):
1 Sr 0.0000 0.0000 0.0000  6 Se 3.11
2 Sr 0.3333 0.6667 0.6667  6 Se 3.11
3 Sr 0.6667 0.3333 0.3333  6 Se 3.11
4 Rh 0.0000 0.0000 0.5000  2 Se 2.36
5 Rh 0.3333 0.6667 0.1667  2 Se 2.36
6 Rh 0.6667 0.3333 0.8333  2 Se 2.36
7 Se 0.0000 0.0000 0.3993  1 Rh 2.36
8 Se 0.0000 0.0000 0.6007  1 Rh 2.36
9 Se 0.3333 0.6667 0.0660  1 Rh 2.36
10 Se 0.3333 0.6667 0.2673  1 Rh 2.36
11 Se 0.6667 0.3333 0.7327  1 Rh 2.36
12 Se 0.6667 0.3333 0.9340  1 Rh 2.36

Calculated values
Crystal system: trigonal
Density of states at the Fermi level, states/eV per cell: 19.84
Relative energy among the computed polymorphs, meV/atom: 587
Final energy, eV for the cell shown: -52.13
Calculated volume, Å³/f.u.: 148
Total moment, μB per formula unit: 2.9
Space group: No. 166

---

No. 6
VASP calculation (PBE) on crystalline SrRhSe2 at its relaxed geometry.

a b c (Å): 6.0274 6.0274 13.1594
angles (deg): 90.00 90.00 90.00
With the nearest neighbours (Å) after each atom.
Atoms (fractional coordinates):
1 Sr 0.0000 0.0000 0.0000  4 Se 3.01
2 Sr 0.0000 0.5000 0.2500  4 Se 3.01
3 Sr 0.5000 0.0000 0.7500  4 Se 3.01
4 Sr 0.5000 0.5000 0.5000  4 Se 3.01
5 Rh 0.0000 0.0000 0.5000  4 Se 2.44
6 Rh 0.0000 0.5000 0.7500  4 Se 2.44
7 Rh 0.5000 0.0000 0.2500  4 Se 2.44
8 Rh 0.5000 0.5000 0.0000  4 Se 2.44
9 Se 0.1640 0.2500 0.6250  2 Rh 2.44
10 Se 0.2500 0.6640 0.8750  2 Rh 2.44
11 Se 0.2500 0.8360 0.3750  2 Rh 2.44
12 Se 0.3360 0.2500 0.1250  2 Rh 2.44
13 Se 0.6640 0.7500 0.1250  2 Rh 2.44
14 Se 0.7500 0.1640 0.3750  2 Rh 2.44
15 Se 0.7500 0.3360 0.8750  2 Rh 2.44
16 Se 0.8360 0.7500 0.6250  2 Rh 2.44

Calculated values
Crystal system: tetragonal
Density of states at the Fermi level, states/eV per cell: 5.37
Relative energy among the computed polymorphs, meV/atom: 157
Final energy, eV for the cell shown: -76.38
Calculated volume, Å³/f.u.: 120
Total moment, μB per formula unit: 0.0
Space group: No. 122

---

No. 7
VASP calculation (PBE) on crystalline SrRhSe2 at its relaxed geometry.

a b c (Å): 3.8745 6.0302 8.0965
angles (deg): 90.00 90.00 90.00
With the nearest neighbours (Å) after each atom.
Atoms (fractional coordinates):
1 Sr 0.0000 0.0000 0.0000  8 Se 3.17-3.38
2 Sr 0.5000 0.5000 0.5000  8 Se 3.17-3.38
3 Rh 0.0000 0.0000 0.5000  4 Se 2.47
4 Rh 0.5000 0.5000 0.0000  4 Se 2.47
5 Se 0.0000 0.5000 0.1897  2 Rh 2.47
6 Se 0.0000 0.5000 0.8103  2 Rh 2.47
7 Se 0.5000 0.0000 0.3103  2 Rh 2.47
8 Se 0.5000 0.0000 0.6897  2 Rh 2.47

Calculated values
Crystal system: orthorhombic
Density of states at the Fermi level, states/eV per cell: 6.38
Relative energy among the computed polymorphs, meV/atom: 10
Final energy, eV for the cell shown: -39.36
Calculated volume, Å³/f.u.: 95
Total moment, μB per formula unit: 0.0
Space group: No. 71

---

No. 8
VASP calculation (PBE) on crystalline SrRh2Se at its relaxed geometry.

a b c (Å): 4.3721 4.3721 15.8343
angles (deg): 90.00 90.00 120.00
With the nearest neighbours (Å) after each atom.
Atoms (fractional coordinates):
1 Sr 0.0000 0.0000 0.0000  7 Rh 3.15-3.39, 4 Se 3.19-3.27
2 Sr 0.3333 0.6667 0.6667  7 Rh 3.15-3.39, 4 Se 3.19-3.27
3 Sr 0.6667 0.3333 0.3333  7 Rh 3.15-3.39, 4 Se 3.19-3.27
4 Rh 0.0000 0.0000 0.4760  3 Rh 2.53, 3 Se 2.69
5 Rh 0.0000 0.0000 0.8009  3 Rh 2.53, 3 Se 2.74
6 Rh 0.3333 0.6667 0.1427  3 Rh 2.53, 3 Se 2.69
7 Rh 0.3333 0.6667 0.4676  3 Rh 2.53, 3 Se 2.74
8 Rh 0.6667 0.3333 0.1343  3 Rh 2.53, 3 Se 2.74
9 Rh 0.6667 0.3333 0.8093  3 Rh 2.53, 3 Se 2.69
10 Se 0.0000 0.0000 0.2018  6 Rh 2.69-2.74
11 Se 0.3333 0.6667 0.8684  6 Rh 2.69-2.74
12 Se 0.6667 0.3333 0.5351  6 Rh 2.69-2.74

Calculated values
Crystal system: trigonal
Density of states at the Fermi level, states/eV per cell: 10.78
Final energy, eV for the cell shown: -65.26
Calculated volume, Å³/f.u.: 87
Total moment, μB per formula unit: 0.0
Space group: No. 160

---

No. 9
VASP calculation (PBE) on crystalline SrRhSe2 at its relaxed geometry.

a b c (Å): 3.4836 3.4836 7.0869
angles (deg): 90.00 90.00 90.00
With the nearest neighbours (Å) after each atom.
Atoms (fractional coordinates):
1 Sr 0.0000 0.0000 0.0000  8 Se 3.21, 4 Sr 3.48, 2 Rh 3.54
2 Rh 0.0000 0.0000 0.5000  8 Se 2.88
3 Se 0.5000 0.5000 0.2894  4 Rh 2.88, 1 Se 2.99, 4 Sr 3.21
4 Se 0.5000 0.5000 0.7106  4 Rh 2.88, 1 Se 2.99, 4 Sr 3.21

Calculated values
Crystal system: tetragonal
Density of states at the Fermi level, states/eV per cell: 3.90
Relative energy among the computed polymorphs, meV/atom: 499
Final energy, eV for the cell shown: -17.73
Calculated volume, Å³/f.u.: 86
Total moment, μB per formula unit: 0.8
Space group: No. 123

---

No. 10
VASP calculation (PBE) on crystalline SrRhSe2 at its relaxed geometry.

a b c (Å): 3.9491 3.9491 6.2452
angles (deg): 90.00 90.00 90.00
With the nearest neighbours (Å) after each atom.
Atoms (fractional coordinates):
1 Sr 0.0000 0.0000 0.0000  6 Se 2.93-3.25
2 Rh 0.5000 0.5000 0.4654  1 Se 2.46
3 Se 0.0000 0.0000 0.4791  4 Rh 2.79, 1 Sr 2.99
4 Se 0.5000 0.5000 0.8596  1 Rh 2.46

Calculated values
Crystal system: tetragonal
Density of states at the Fermi level, states/eV per cell: 2.72
Relative energy among the computed polymorphs, meV/atom: 257
Final energy, eV for the cell shown: -18.70
Calculated volume, Å³/f.u.: 97
Total moment, μB per formula unit: 0.0
Space group: No. 99

---

No. 11
VASP calculation (PBE) on crystalline SrRhSe at its relaxed geometry.

a b c (Å): 3.6322 3.6322 10.4582
angles (deg): 90.00 90.00 90.00
With the nearest neighbours (Å) after each atom.
Atoms (fractional coordinates):
1 Sr 0.0000 0.0000 0.0000  1 Rh 2.95, 1 Se 2.97
2 Sr 0.5000 0.5000 0.5000  1 Rh 2.95, 1 Se 2.97
3 Rh 0.0000 0.0000 0.2821  4 Se 2.66, 1 Sr 2.95
4 Rh 0.5000 0.5000 0.7821  4 Se 2.66, 1 Sr 2.95
5 Se 0.0000 0.0000 0.7157  4 Rh 2.66, 1 Sr 2.97
6 Se 0.5000 0.5000 0.2157  4 Rh 2.66, 1 Sr 2.97

Calculated values
Crystal system: tetragonal
Density of states at the Fermi level, states/eV per cell: 4.39
Relative energy among the computed polymorphs, meV/atom: 457
Final energy, eV for the cell shown: -28.13
Calculated volume, Å³/f.u.: 69
Total moment, μB per formula unit: 0.0
Space group: No. 107

---

No. 12
VASP calculation (PBE) on crystalline SrRhSe2 at its relaxed geometry.

a b c (Å): 3.4367 3.4367 8.5867
angles (deg): 90.00 90.00 90.00
With the nearest neighbours (Å) after each atom.
Atoms (fractional coordinates):
1 Sr 0.0000 0.0000 0.0000  5 Se 3.06-3.29
2 Rh 0.5000 0.5000 0.2899  4 Se 2.56
3 Se 0.0000 0.0000 0.3831  4 Rh 2.56
4 Se 0.5000 0.5000 0.7843  4 Sr 3.06

Calculated values
Crystal system: tetragonal
Density of states at the Fermi level, states/eV per cell: 3.41
Relative energy among the computed polymorphs, meV/atom: 391
Final energy, eV for the cell shown: -18.16
Calculated volume, Å³/f.u.: 101
Total moment, μB per formula unit: 0.0
Space group: No. 99